7
Lattice="-0.029 2.556 -3.297 -2.530 -2.632 -2.018 -6.740 4.840 6.452" Properties=species:S:1:pos:R:3 comment="Li2UI2N2 PBE relaxed" final_energy_ev_per_atom=-6.00 e_form_raw_ev_per_atom=-1.0237 magnetic_moment_mub_per_cell=0.000 pbc="T T T"
N -1.265 -1.316 -1.009
N -0.015 1.278 -1.648
Li -2.447 0.661 -2.105
Li -6.852 4.103 3.242
I -2.405 1.440 1.138
I -6.894 3.324 -0.001
U 0.000 0.000 0.000